*P*
{
  "formula": "NaLuHfPt",
  "functional": "PBE",
  "state": "optimized geometry",
  "cell": [[0.000, 3.445, 3.445], [3.445, 0.000, 3.445], [3.445, 3.445, 0.000]],
  "species": ["Pt", "Hf", "Na", "Lu"],
  "fractional_positions": [[0.250, 0.250, 0.250], [0.500, 0.500, 0.500], [0.750, 0.750, 0.750], [0.000, 0.000, 0.000]],
  "total_magnetization_mub_per_cell": 0.0,
  "volume_a3_per_atom": 20.45
}



*Q*
{
  "formula": "NaLuHfPt",
  "functional": "PBE",
  "state": "optimized geometry",
  "cell": [[0.000, 3.430, 3.430], [3.430, 0.000, 3.430], [3.430, 3.430, 0.000]],
  "species": ["Pt", "Na", "Hf", "Lu"],
  "fractional_positions": [[0.500, 0.500, 0.500], [0.750, 0.750, 0.750], [0.250, 0.250, 0.250], [0.000, 0.000, 0.000]],
  "total_magnetization_mub_per_cell": 0.1,
  "volume_a3_per_atom": 20.18
}



Top of the stability list: *P*, leading by 0.245 eV/atom.



*P*
{
  "formula": "LuHfSiNi",
  "functional": "PBE",
  "state": "optimized geometry",
  "cell": [[0.000, 3.261, 3.261], [3.261, 0.000, 3.261], [3.261, 3.261, 0.000]],
  "species": ["Ni", "Si", "Lu", "Hf"],
  "fractional_positions": [[0.750, 0.750, 0.750], [0.000, 0.000, 0.000], [0.500, 0.500, 0.500], [0.250, 0.250, 0.250]],
  "total_magnetization_mub_per_cell": 0.7,
  "volume_a3_per_atom": 17.34
}



*Q*
{
  "formula": "LuHfSiNi",
  "functional": "PBE",
  "state": "optimized geometry",
  "cell": [[3.416, 1.832, 2.557], [-0.792, 3.795, 2.556], [-0.145, -0.309, 4.631]],
  "species": ["Si", "Lu", "Ni", "Hf"],
  "fractional_positions": [[0.000, 0.000, 0.000], [0.250, 0.250, 0.250], [0.750, 0.750, 0.750], [0.500, 0.500, 0.500]],
  "total_magnetization_mub_per_cell": 0.6,
  "volume_a3_per_atom": 17.70
}



Top of the stability list: *P*, leading by 0.092 eV/atom.